First-principles (PBE) data for an optimized crystal structure of Al2Sb2O, as listed in Alexandria. Values from VASP.

Geometry as Quantum ESPRESSO input:
```
&SYSTEM
  ibrav = 0, nat = 10, ntyp = 3
/
ATOMIC_SPECIES
Al 26.98 Al.upf
Sb 121.76 Sb.upf
O 16.00 O.upf
ATOMIC_POSITIONS crystal
Al 0.000 0.000 0.104
Al 0.000 0.000 0.896
Al 0.500 0.500 0.396
Al 0.500 0.500 0.604
Sb 0.000 0.500 0.250
Sb 0.000 0.500 0.750
Sb 0.500 0.000 0.250
Sb 0.500 0.000 0.750
O 0.000 0.000 0.500
O 0.500 0.500 0.000
CELL_PARAMETERS angstrom
4.489 0.000 0.000
0.000 4.489 0.000
0.000 0.000 11.658
```

Results
- Calculated volume: 23.49 A^3/atom
- Total moment: 0.00 μB/f.u.
- D(E_F): 0.909 states/eV/atom
- ΔE to the lowest computed polymorph: 1017.3 meV/atom